[1]
Compound: Sm3Ho6Sc2
Source: the Alexandria database
Functional: GGA-PBE
Structure: optimized geometry

Properties
- Total moment: 0.00 μB/f.u.
- ΔE_f: 0.09 eV/atom
- Offset from the most stable computed form: 0.000 eV per atom
- D(E_F): 17.49 states/eV/f.u.

Unit cell a=5.557 b=5.557 c=13.020 alpha=77.68 beta=77.68 gamma=60.00
Fractional positions:
Ho: 0.187 0.187 0.438
Sc: 0.538 0.538 0.385
Ho: 0.622 0.622 0.133
Ho: 0.378 0.378 0.867
Ho: 0.094 0.094 0.718
Sm: 0.283 0.283 0.152
Ho: 0.813 0.813 0.562
Ho: 0.906 0.906 0.282
Sm: 0.000 0.000 0.000
Sm: 0.717 0.717 0.848
Sc: 0.462 0.462 0.615

=====

[2]
Compound: TbScInPd
Source: the Alexandria database
Functional: GGA-PBE
Structure: optimized geometry

Properties
- Total moment: 0.00 μB/f.u.
- ΔE_f: -0.58 eV/atom
- D(E_F): 3.43 states/eV/f.u.

Unit cell a=5.033 b=5.033 c=5.033 alpha=60.00 beta=60.00 gamma=60.00
Fractional positions:
In: 0.750 0.750 0.750
Sc: 0.000 0.000 0.000
Tb: 0.500 0.500 0.500
Pd: 0.250 0.250 0.250

=====

[3]
Compound: AcZn2SiIr2
Source: the Alexandria database
Functional: GGA-PBE
Structure: optimized geometry

Properties
- Total moment: 0.62 μB/f.u.
- Formation energy (no corrections): -0.30 eV per atom
- D(E_F): 4.16 states/eV/f.u.

Unit cell a=4.526 b=4.526 c=5.967 alpha=90.00 beta=90.00 gamma=90.00
Fractional positions:
Ir: 0.500 0.000 0.000
Ac: 0.000 0.000 0.500
Si: 0.000 0.000 0.000
Zn: 0.500 0.500 0.737
Ir: 0.000 0.500 0.000
Zn: 0.500 0.500 0.263

=====

[4]
Compound: NaDyCd2
Source: the Alexandria database
Functional: GGA-PBE
Structure: optimized geometry

Properties
- Total moment: 0.00 μB/f.u.
- ΔE_f: -0.18 eV/atom
- Offset from the most stable computed form: 0.000 eV per atom
- D(E_F): 2.18 states/eV/f.u.

Unit cell a=3.444 b=5.486 c=5.486 alpha=90.00 beta=90.00 gamma=90.00
Fractional positions:
Dy: 0.500 0.000 0.000
Cd: 0.000 0.500 0.000
Cd: 0.000 0.000 0.500
Na: 0.500 0.500 0.500

=====

[5]
Compound: KAgSe2Br
Source: the Alexandria database
Functional: GGA-PBE
Structure: optimized geometry

Properties
- Total moment: 3.00 μB/f.u.
- Formation energy (no corrections): 0.60 eV per atom
- Offset from the most stable computed form: 0.858 eV per atom
- D(E_F): 4.27 states/eV/f.u.

Unit cell a=6.016 b=6.016 c=5.920 alpha=90.00 beta=90.00 gamma=90.00
Fractional positions:
K: 0.000 0.000 0.000
Se: 0.500 0.000 0.000
Se: 0.000 0.500 0.000
Ag: 0.500 0.500 0.500
Br: 0.000 0.000 0.500

=====

[6]
Compound: PaBiC
Source: the Alexandria database
Functional: GGA-PBE
Structure: optimized geometry

Properties
- Total moment: 0.00 μB/f.u.
- ΔE_f: -0.22 eV/atom
- Offset from the most stable computed form: 0.050 eV per atom
- D(E_F): 1.78 states/eV/f.u.

Unit cell a=3.436 b=3.436 c=11.815 alpha=98.36 beta=98.36 gamma=90.00
Fractional positions:
Pa: 0.191 0.191 0.381
Pa: 0.809 0.809 0.619
C: 0.709 0.709 0.418
C: 0.291 0.291 0.582
Bi: 0.570 0.570 0.140
Bi: 0.430 0.430 0.860

=====

[7]
Compound: Zr2BePdRu
Source: the Alexandria database
Functional: GGA-PBE
Structure: optimized geometry

Properties
- Total moment: 0.00 μB/f.u.
- ΔE_f: 0.16 eV/atom
- D(E_F): 3.27 states/eV/f.u.

Unit cell a=4.697 b=3.980 c=4.697 alpha=90.00 beta=90.00 gamma=90.00
Fractional positions:
Pd: 0.000 0.500 0.000
Zr: 0.000 0.000 0.500
Ru: 0.500 0.500 0.500
Be: 0.000 0.000 0.000
Zr: 0.500 0.000 0.000

=====

[8]
Compound: CaSmRe2O8
Source: the Alexandria database
Functional: GGA-PBE
Structure: optimized geometry

Properties
- Total moment: 3.01 μB/f.u.
- Formation energy (no corrections): -2.02 eV per atom
- D(E_F): 8.26 states/eV/f.u.

Unit cell a=5.978 b=5.978 c=6.851 alpha=90.00 beta=90.00 gamma=120.00
Fractional positions:
O: 0.333 0.667 0.075
Re: 0.333 0.667 0.816
Sm: 0.000 0.000 0.500
Ca: 0.000 0.000 0.000
Re: 0.667 0.333 0.184
O: 0.163 0.837 0.734
O: 0.326 0.163 0.266
O: 0.163 0.326 0.734
O: 0.674 0.837 0.734
O: 0.667 0.333 0.925
O: 0.837 0.674 0.266
O: 0.837 0.163 0.266

=====

[9]
Compound: CaEuP2
Source: the Alexandria database
Functional: GGA-PBE
Structure: optimized geometry

Properties
- Total moment: 5.92 μB/f.u.
- ΔE_f: -0.89 eV/atom
- D(E_F): 5.09 states/eV/f.u.

Unit cell a=4.182 b=4.182 c=7.078 alpha=72.82 beta=72.82 gamma=60.00
Fractional positions:
Eu: 0.500 0.500 0.500
P: 0.247 0.247 0.260
Ca: 0.000 0.000 0.000
P: 0.753 0.753 0.740

=====

[10]
Compound: MgFeCo2
Source: the Alexandria database
Functional: GGA-PBE
Structure: optimized geometry

Properties
- Total moment: 5.53 μB/f.u.
- ΔE_f: 0.14 eV/atom
- D(E_F): 4.73 states/eV/f.u.

Unit cell a=2.678 b=2.678 c=7.192 alpha=90.00 beta=90.00 gamma=90.00
Fractional positions:
Co: 0.500 0.500 0.237
Co: 0.000 0.000 0.033
Fe: 0.000 0.000 0.469
Mg: 0.500 0.500 0.761

=====

[11]
Compound: Pr6Si2PtI3
Source: the Alexandria database
Functional: GGA-PBE
Structure: optimized geometry

Properties
- Total moment: 0.00 μB/f.u.
- Formation energy (no corrections): -0.97 eV per atom
- D(E_F): 8.43 states/eV/f.u.

Unit cell a=4.289 b=9.394 c=10.211 alpha=106.47 beta=102.12 gamma=90.00
Fractional positions:
Si: 0.167 0.336 0.334
Pt: 0.500 0.000 0.000
Pr: 0.343 0.885 0.685
Pr: 0.657 0.115 0.315
Pr: 0.988 0.785 0.977
Pr: 0.322 0.443 0.644
Pr: 0.012 0.215 0.023
I: 0.831 0.169 0.662
I: 0.500 0.500 0.000
Pr: 0.678 0.557 0.356
I: 0.169 0.831 0.338
Si: 0.833 0.664 0.666

=====

[12]
Compound: V2Pt5Rh5
Source: the Alexandria database
Functional: GGA-PBE
Structure: optimized geometry

Properties
- Total moment: 0.00 μB/f.u.
- ΔE_f: -0.34 eV/atom
- D(E_F): 11.56 states/eV/f.u.

Unit cell a=3.854 b=6.106 c=8.291 alpha=72.48 beta=76.56 gamma=71.60
Fractional positions:
Pt: 0.334 0.332 0.001
Pt: 0.421 0.906 0.252
Pt: 0.579 0.094 0.748
Rh: 0.165 0.170 0.499
Pt: 0.666 0.668 0.999
V: 0.088 0.576 0.249
Rh: 0.740 0.265 0.255
Pt: 0.500 0.500 0.500
Rh: 0.000 0.000 0.000
V: 0.912 0.424 0.751
Rh: 0.260 0.735 0.745
Rh: 0.835 0.830 0.501